VASP calculation (PBE with a Hubbard U) on SrCr2PO8 after structural relaxation.

Values from the calculation:
Energy, eV per cell: -82.844
Symmetry: No. 2

Geometry as extended XYZ:
```
12
Lattice="-4.368 -2.176 -0.178 -0.603 -2.633 -4.069 2.511 -5.935 3.128" Properties=species:S:1:pos:R:3 pbc="T T T"
P 0.000 0.000 0.000
O -0.115 -4.904 0.476
O -1.049 -3.612 -2.719
O -3.175 -3.371 -0.537
O 0.714 -7.374 -0.583
O -3.867 -3.980 -3.288
O 1.406 -6.764 2.169
O -1.411 -7.133 1.599
O -2.346 -5.840 -1.596
Cr 0.156 -6.506 0.917
Cr -2.617 -4.238 -2.036
Sr 1.255 -2.968 1.564
```